(1)
First-principles (PBE) data for a relaxed structure of SrGa2SiO6, as listed in Alexandria.

It has space group C2/c (No. 15), with a = 11.046 Å, b = 9.336 Å, c = 6.357 Å, α = 90.00°, β = 120.00° and γ = 90.00°. The inequivalent atoms are Sr at (0.000, 0.188, 0.250), Ga at (0.203, 0.440, 0.153), Si at (0.000, 0.189, 0.750), O at (0.096, 0.279, 0.997), O at (0.101, 0.088, 0.690) and O at (0.174, 0.426, 0.418).

As for the uncorrected energy: -6.69 eV/atom. As for the volume: 567.68 Å³/cell.



(2)
First-principles (PBE) data for a relaxed structure of SmAl3B4O12, as listed in Alexandria.

It has space group R32 (No. 155, hexagonal axes), with a = 9.3929 Å, b = 9.3929 Å, c = 7.3567 Å, α = 90.00°, β = 90.00° and γ = 120.00°. The inequivalent atoms are Sm at (0.0000, 0.0000, 0.0000), Al at (0.0000, 0.5555, 0.0000), B at (0.0000, 0.0000, 0.5000), B at (0.0000, 0.4424, 0.5000), O at (0.0000, 0.5910, 0.5000), O at (0.0000, 0.8514, 0.5000) and O at (0.0329, 0.2184, 0.1909).

As for the uncorrected energy: -7.93 eV/atom. As for the volume: 562.10 Å³/cell.



(3)
First-principles (PBE) data for a relaxed structure of Pr3Pt2Au, as listed in Alexandria.

It has space group C2/c (No. 15), with a = 13.602 Å, b = 6.054 Å, c = 8.497 Å, α = 90.00°, β = 108.14° and γ = 90.00°. The inequivalent atoms are Pr at (0.000, 0.002, 0.250), Pr at (0.178, 0.499, 0.089), Pt at (0.163, 0.000, 0.081) and Au at (0.000, 0.498, 0.750).

For the energy of formation from the pure elements, the calculation gives -0.929 eV/atom. As for the volume: 664.85 Å³/cell.



(4)
First-principles (PBE) data for a relaxed structure of HfS, as listed in Alexandria.

It has space group P6_3/m (No. 176), with a = 8.7790 Å, b = 8.7790 Å, c = 4.3190 Å, α = 90.00°, β = 90.00° and γ = 120.00°. The inequivalent atoms are Hf at (0.1230, 0.6570, 0.2500) and S at (0.0058, 0.3225, 0.2500).

As for the uncorrected energy: -8.13 eV/atom. As for the volume: 288.27 Å³/cell.



(5)
First-principles (PBE) data for a relaxed structure of BaCaSc2, as listed in Alexandria.

It has space group Fm-3m (No. 225), with a = 8.217 Å, b = 8.217 Å, c = 8.217 Å, α = 90.00°, β = 90.00° and γ = 90.00°. The inequivalent atoms are Ba at (0.000, 0.000, 0.000), Ca at (0.000, 0.000, 0.500) and Sc at (0.250, 0.250, 0.250).

For the energy of formation from the pure elements, the calculation gives 0.402 eV/atom. As for the volume: 554.84 Å³/cell.



(6)
First-principles (PBE) data for a relaxed structure of Sr2GeHPt, as listed in Alexandria.

It has space group P4/mmm (No. 123), with a = 5.901 Å, b = 5.901 Å, c = 3.527 Å, α = 90.00°, β = 90.00° and γ = 90.00°. The inequivalent atoms are Sr at (0.000, 0.500, 0.000), Ge at (0.000, 0.000, 0.500), H at (0.500, 0.500, 0.500) and Pt at (0.500, 0.500, 0.000).

As for the uncorrected energy: -3.84 eV/atom. As for the volume: 122.84 Å³/cell.



(7)
First-principles (PBE) data for a relaxed structure of Cd3Ru, as listed in Alexandria.

It has space group P-6m2 (No. 187), with a = 3.0098 Å, b = 3.0098 Å, c = 9.7738 Å, α = 90.00°, β = 90.00° and γ = 120.00°. The inequivalent atoms are Cd at (0.0000, 0.0000, 0.0000), Cd at (0.6667, 0.3333, 0.2700) and Ru at (0.0000, 0.0000, 0.5000).

For the energy of formation from the pure elements, the calculation gives 0.250 eV/atom. As for the volume: 76.68 Å³/cell.



(8)
First-principles (PBE) data for a relaxed structure of ZrGa2Os, as listed in Alexandria.

It has space group R-3m (No. 166, hexagonal axes), with a = 4.2486 Å, b = 4.2486 Å, c = 12.9679 Å, α = 90.00°, β = 90.00° and γ = 120.00°. The inequivalent atoms are Zr at (0.0000, 0.0000, 0.0000), Ga at (0.0000, 0.0000, 0.2289) and Os at (0.0000, 0.0000, 0.5000).

For the energy of formation from the pure elements, the calculation gives -0.268 eV/atom. As for the volume: 202.72 Å³/cell.



(9)
First-principles (PBE) data for a relaxed structure of GaTc2Ge2, as listed in Alexandria.

It has space group Cmc2_1 (No. 36), with a = 2.895 Å, b = 12.228 Å, c = 9.142 Å, α = 90.00°, β = 90.00° and γ = 90.00°. The inequivalent atoms are Ga at (0.000, 0.114, 0.000), Tc at (0.000, 0.219, 0.592), Tc at (0.000, 0.445, 0.931), Ge at (0.000, 0.205, 0.311) and Ge at (0.000, 0.437, 0.204).

For the energy of formation from the pure elements, the calculation gives -0.100 eV/atom. As for the volume: 323.62 Å³/cell.



(10)
First-principles (PBE) data for a relaxed structure of PaCr2Se6, as listed in Alexandria.

It has space group C2/m (No. 12), with a = 14.734 Å, b = 3.838 Å, c = 8.996 Å, α = 90.00°, β = 111.09° and γ = 90.00°. The inequivalent atoms are Pa at (0.000, 0.000, 0.000), Cr at (0.176, 0.500, 0.347), Se at (0.016, 0.500, 0.786), Se at (0.150, 0.000, 0.514) and Se at (0.198, 0.000, 0.168).

As for the uncorrected energy: -6.30 eV/atom. As for the volume: 474.62 Å³/cell.



(11)
First-principles (PBE) data for a relaxed structure of CaSmCd3, as listed in Alexandria.

It has space group Cmcm (No. 63), with a = 3.599 Å, b = 30.072 Å, c = 4.989 Å, α = 90.00°, β = 90.00° and γ = 90.00°. The inequivalent atoms are Ca at (0.000, 0.074, 0.250), Sm at (0.000, 0.214, 0.750), Cd at (0.000, 0.326, 0.750), Cd at (0.000, 0.379, 0.250) and Cd at (0.000, 0.476, 0.250).

For the energy of formation from the pure elements, the calculation gives -0.305 eV/atom. As for the volume: 539.93 Å³/cell.



(12)
First-principles (PBE) data for a relaxed structure of Sc2Te, as listed in Alexandria.

It has space group P-3m1 (No. 164), with a = 3.7663 Å, b = 3.7663 Å, c = 6.4145 Å, α = 90.00°, β = 90.00° and γ = 120.00°. The inequivalent atoms are Sc at (0.3333, 0.6667, 0.3060) and Te at (0.0000, 0.0000, 0.0000).

As for the uncorrected energy: -5.87 eV/atom. As for the volume: 78.80 Å³/cell.



(13)
First-principles (PBE) data for a relaxed structure of VAsI, as listed in Alexandria.

It has space group Imm2 (No. 44), with a = 3.621 Å, b = 12.240 Å, c = 6.603 Å, α = 90.00°, β = 90.00° and γ = 90.00°. The inequivalent atoms are V at (0.000, 0.116, 0.000), As at (0.000, 0.500, 0.313), As at (0.000, 0.500, 0.694) and I at (0.000, 0.214, 0.591).

As for the uncorrected energy: -5.27 eV/atom. As for the volume: 292.68 Å³/cell.



(14)
First-principles (PBE) data for a relaxed structure of AlTeAsBr2, as listed in Alexandria.

It has space group P4/mmm (No. 123), with a = 4.867 Å, b = 4.867 Å, c = 5.544 Å, α = 90.00°, β = 90.00° and γ = 90.00°. The inequivalent atoms are Al at (0.000, 0.000, 0.000), Te at (0.500, 0.500, 0.500), As at (0.000, 0.000, 0.500) and Br at (0.000, 0.500, 0.000).

As for the uncorrected energy: -2.95 eV/atom. As for the volume: 131.34 Å³/cell.



(15)
First-principles (PBE) data for a relaxed structure of Ta2PtCl, as listed in Alexandria.

It has space group P4/mmm (No. 123), with a = 2.993 Å, b = 2.993 Å, c = 7.158 Å, α = 90.00°, β = 90.00° and γ = 90.00°. The inequivalent atoms are Ta at (0.000, 0.000, 0.238), Pt at (0.500, 0.500, 0.500) and Cl at (0.500, 0.500, 0.000).

As for the uncorrected energy: -7.96 eV/atom. As for the volume: 64.14 Å³/cell.



(16)
First-principles (PBE) data for a relaxed structure of Mg2Ga, as listed in Alexandria.

It has space group P6_3/mmc (No. 194), with a = 3.1822 Å, b = 3.1822 Å, c = 14.2225 Å, α = 90.00°, β = 90.00° and γ = 120.00°. The inequivalent atoms are Mg at (0.3333, 0.6667, 0.0908) and Ga at (0.3333, 0.6667, 0.7500).

For the energy of formation from the pure elements, the calculation gives -0.075 eV/atom. As for the volume: 124.73 Å³/cell.



(17)
First-principles (PBE) data for a relaxed structure of BaSrSN2, as listed in Alexandria.

It has space group P4/mmm (No. 123), with a = 4.651 Å, b = 4.651 Å, c = 6.206 Å, α = 90.00°, β = 90.00° and γ = 90.00°. The inequivalent atoms are Ba at (0.000, 0.000, 0.000), Sr at (0.500, 0.500, 0.500), S at (0.000, 0.000, 0.500) and N at (0.000, 0.500, 0.000).

As for the uncorrected energy: -4.33 eV/atom. As for the volume: 134.26 Å³/cell.



(18)
First-principles (PBE) data for a relaxed structure of Ac3N2Cl2, as listed in Alexandria.

It has space group C2/m (No. 12), with a = 13.098 Å, b = 3.789 Å, c = 7.827 Å, α = 90.00°, β = 101.81° and γ = 90.00°. The inequivalent atoms are Ac at (0.000, 0.000, 0.000), Ac at (0.223, 0.000, 0.789), N at (0.138, 0.500, 0.947) and Cl at (0.127, 0.000, 0.373).

As for the uncorrected energy: -6.23 eV/atom. As for the volume: 380.20 Å³/cell.



(19)
First-principles (PBE) data for a relaxed structure of Cd3In3Bi, as listed in Alexandria.

It has space group Pm-3n (No. 223), with a = 8.019 Å, b = 8.019 Å, c = 8.019 Å, α = 90.00°, β = 90.00° and γ = 90.00°. The inequivalent atoms are Cd at (0.000, 0.250, 0.500), In at (0.000, 0.500, 0.250) and Bi at (0.000, 0.000, 0.000).

For the energy of formation from the pure elements, the calculation gives 0.486 eV/atom. As for the volume: 515.71 Å³/cell.



(20)
First-principles (PBE) data for a relaxed structure of Rb2CaGaF6, as listed in Alexandria.

It has space group Fm-3m (No. 225), with a = 8.873 Å, b = 8.873 Å, c = 8.873 Å, α = 90.00°, β = 90.00° and γ = 90.00°. The inequivalent atoms are Rb at (0.250, 0.250, 0.250), Ca at (0.000, 0.000, 0.000), Ga at (0.000, 0.000, 0.500) and F at (0.000, 0.000, 0.255).

As for the uncorrected energy: -4.70 eV/atom. As for the volume: 698.59 Å³/cell.